*w*
Here is Tm4HgRh after structural relaxation from Alexandria. Energies are from GGA-PBE.

DOS(E_F) in states/eV/f.u.: 4.3
Total magnetization in Bohr magnetons per cell: 0.000

Cell lengths 9.446, 9.446, 9.446 Å; angles 60.00, 60.00, 60.00 degrees
Element x y z (fractional)
Tm1 0.187 0.187 0.813
Tm2 0.187 0.813 0.187
Tm3 0.187 0.813 0.813
Tm4 0.398 0.398 0.398
Tm5 0.398 0.398 0.806
Tm6 0.398 0.806 0.398
Tm7 0.561 0.561 0.939
Tm8 0.561 0.939 0.561
Tm9 0.561 0.939 0.939
Tm10 0.806 0.398 0.398
Tm11 0.813 0.187 0.187
Tm12 0.813 0.187 0.813
Tm13 0.813 0.813 0.187
Tm14 0.939 0.561 0.561
Tm15 0.939 0.561 0.939
Tm16 0.939 0.939 0.561
Hg1 0.165 0.165 0.165
Hg2 0.165 0.165 0.506
Hg3 0.165 0.506 0.165
Hg4 0.506 0.165 0.165
Rh1 0.180 0.607 0.607
Rh2 0.607 0.180 0.607
Rh3 0.607 0.607 0.180
Rh4 0.607 0.607 0.607

*x*
Here is Tm4HgRh after structural relaxation from Alexandria. Energies are from GGA-PBE.

DOS(E_F) in states/eV/f.u.: 6.2
Total magnetization in Bohr magnetons per cell: 0.000

Cell lengths 7.207, 6.911, 6.809 Å; angles 90.00, 92.39, 90.00 degrees
Element x y z (fractional)
Tm1 0.143 0.157 0.174
Tm2 0.143 0.343 0.674
Tm3 0.318 0.648 0.130
Tm4 0.318 0.852 0.630
Tm5 0.682 0.148 0.370
Tm6 0.682 0.352 0.870
Tm7 0.857 0.657 0.326
Tm8 0.857 0.843 0.826
Hg1 0.500 0.000 0.000
Hg2 0.500 0.500 0.500
Rh1 0.000 0.000 0.500
Rh2 0.000 0.500 0.000

Which one sits at the top of the stability order? *w* does.

*w*
Here is VHgRh after structural relaxation from Alexandria. Energies are from GGA-PBE.

DOS(E_F) in states/eV/f.u.: 3.2
Total magnetization in Bohr magnetons per cell: 1.385

Cell lengths 6.134, 6.134, 6.134 Å; angles 152.41, 152.41, 39.42 degrees
Element x y z (fractional)
V1 0.000 0.000 0.000
Hg1 0.685 0.685 0.000
Rh1 0.372 0.372 0.000

*x*
Here is VHgRh after structural relaxation from Alexandria. Energies are from GGA-PBE.

DOS(E_F) in states/eV/f.u.: 2.1
Total magnetization in Bohr magnetons per cell: 1.205

Cell lengths 5.154, 5.154, 5.154 Å; angles 146.57, 139.25, 53.69 degrees
Element x y z (fractional)
V1 0.000 0.000 0.000
Hg1 0.314 0.314 0.000
Rh1 0.625 0.625 0.000

*y*
Here is VHgRh after structural relaxation from Alexandria. Energies are from GGA-PBE.

DOS(E_F) in states/eV/f.u.: 3.2
Total magnetization in Bohr magnetons per cell: 0.001

Cell lengths 5.752, 5.752, 6.362 Å; angles 106.55, 106.55, 29.39 degrees
Element x y z (fractional)
V1 0.000 0.000 0.000
V2 0.668 0.668 0.912
Hg1 0.360 0.360 0.253
Hg2 0.653 0.653 0.384
Rh1 0.012 0.012 0.634
Rh2 0.316 0.316 0.765

Which one sits at the top of the stability order? *w* does.

*w*
Here is V2HgRh2 after structural relaxation from Alexandria. Energies are from GGA-PBE.

DOS(E_F) in states/eV/f.u.: 2.4
Total magnetization in Bohr magnetons per cell: 0.000

Cell lengths 5.832, 5.832, 5.832 Å; angles 138.64, 138.64, 59.93 degrees
Element x y z (fractional)
V1 0.250 0.750 0.500
V2 0.750 0.250 0.500
Hg1 0.000 0.000 0.000
Rh1 0.375 0.375 0.000
Rh2 0.625 0.625 0.000

*x*
Here is V2HgRh2 after structural relaxation from Alexandria. Energies are from GGA-PBE.

DOS(E_F) in states/eV/f.u.: 5.0
Total magnetization in Bohr magnetons per cell: 0.001

Cell lengths 7.520, 7.520, 2.772 Å; angles 90.00, 90.00, 90.00 degrees
Element x y z (fractional)
V1 0.146 0.354 0.000
V2 0.354 0.854 0.000
V3 0.646 0.146 0.000
V4 0.854 0.646 0.000
Hg1 0.000 0.000 0.000
Hg2 0.500 0.500 0.000
Rh1 0.143 0.643 0.500
Rh2 0.357 0.143 0.500
Rh3 0.643 0.857 0.500
Rh4 0.857 0.357 0.500

*y*
Here is V2HgRh2 after structural relaxation from Alexandria. Energies are from GGA-PBE.

DOS(E_F) in states/eV/f.u.: 4.3
Total magnetization in Bohr magnetons per cell: 0.000

Cell lengths 7.437, 7.437, 2.788 Å; angles 90.00, 90.00, 90.00 degrees
Element x y z (fractional)
V1 0.162 0.338 0.000
V2 0.338 0.838 0.000
V3 0.662 0.162 0.000
V4 0.838 0.662 0.000
Hg1 0.000 0.000 0.500
Hg2 0.500 0.500 0.500
Rh1 0.130 0.630 0.500
Rh2 0.370 0.130 0.500
Rh3 0.630 0.870 0.500
Rh4 0.870 0.370 0.500

Which one sits at the top of the stability order? *y* does.

*w*
Here is VHg2Rh2 after structural relaxation from Alexandria. Energies are from GGA-PBE.

DOS(E_F) in states/eV/f.u.: 7.3
Total magnetization in Bohr magnetons per cell: 5.220

Cell lengths 7.568, 7.568, 3.176 Å; angles 90.00, 90.00, 90.00 degrees
Element x y z (fractional)
V1 0.000 0.000 0.000
V2 0.500 0.500 0.000
Hg1 0.139 0.361 0.000
Hg2 0.361 0.861 0.000
Hg3 0.639 0.139 0.000
Hg4 0.861 0.639 0.000
Rh1 0.162 0.662 0.500
Rh2 0.338 0.162 0.500
Rh3 0.662 0.838 0.500
Rh4 0.838 0.338 0.500

*x*
Here is VHg2Rh2 after structural relaxation from Alexandria. Energies are from GGA-PBE.

DOS(E_F) in states/eV/f.u.: 8.1
Total magnetization in Bohr magnetons per cell: 4.252

Cell lengths 7.549, 7.549, 7.549 Å; angles 151.82, 151.82, 40.28 degrees
Element x y z (fractional)
V1 0.000 0.000 0.000
Hg1 0.400 0.400 0.000
Hg2 0.600 0.600 0.000
Rh1 0.250 0.750 0.500
Rh2 0.750 0.250 0.500

Which one sits at the top of the stability order? *w* does.

*w*
Here is HgRhW after structural relaxation from Alexandria. Energies are from GGA-PBE.

DOS(E_F) in states/eV/f.u.: 2.8
Total magnetization in Bohr magnetons per cell: 0.000

Cell lengths 2.893, 2.893, 7.066 Å; angles 90.00, 90.00, 120.00 degrees
Element x y z (fractional)
Hg1 0.000 0.000 0.000
Rh1 0.333 0.667 0.350
W1 0.667 0.333 0.638

*x*
Here is HgRhW after structural relaxation from Alexandria. Energies are from GGA-PBE.

DOS(E_F) in states/eV/f.u.: 1.8
Total magnetization in Bohr magnetons per cell: 0.000

Cell lengths 5.066, 5.066, 5.066 Å; angles 147.12, 134.20, 57.52 degrees
Element x y z (fractional)
Hg1 0.000 0.000 0.000
Rh1 0.320 0.320 0.000
W1 0.682 0.682 0.000

Which one sits at the top of the stability order? *w* does.

*w*
Here is HgRhW after structural relaxation from Alexandria. Energies are from GGA-PBE.

DOS(E_F) in states/eV/f.u.: 6.4
Total magnetization in Bohr magnetons per cell: 0.007

Cell lengths 4.344, 4.344, 4.344 Å; angles 60.00, 60.00, 60.00 degrees
Element x y z (fractional)
Hg1 0.000 0.000 0.000
Rh1 0.250 0.250 0.250
W1 0.500 0.500 0.500

*x*
Here is HgRhW after structural relaxation from Alexandria. Energies are from GGA-PBE.

DOS(E_F) in states/eV/f.u.: 1.6
Total magnetization in Bohr magnetons per cell: 0.000

Cell lengths 6.456, 6.456, 6.456 Å; angles 154.27, 154.27, 36.71 degrees
Element x y z (fractional)
Hg1 0.000 0.000 0.000
Rh1 0.322 0.322 0.000
W1 0.683 0.683 0.000

*y*
Here is HgRhW after structural relaxation from Alexandria. Energies are from GGA-PBE.

DOS(E_F) in states/eV/f.u.: 3.6
Total magnetization in Bohr magnetons per cell: 0.756

Cell lengths 4.399, 4.399, 4.399 Å; angles 60.00, 60.00, 60.00 degrees
Element x y z (fractional)
Hg1 0.000 0.000 0.000
Rh1 0.500 0.500 0.500
W1 0.750 0.750 0.750

Which one sits at the top of the stability order? *x* does.